Below is an optimized crystal structure of Rb2Pd2Br7, with properties calculated at the PBE level. Values from VASP.

Structure (Quantum ESPRESSO input):
```
&SYSTEM
  ibrav = 0, nat = 11, ntyp = 3
/
ATOMIC_SPECIES
Rb 85.47 Rb.upf
Pd 106.42 Pd.upf
Br 79.90 Br.upf
ATOMIC_POSITIONS crystal
Rb 0.1658 0.8342 0.0000
Rb 0.8342 0.1658 0.0000
Pd 0.3168 0.3168 0.6607
Pd 0.6832 0.6832 0.3393
Br 0.0000 0.0000 0.5000
Br 0.1466 0.4566 0.6492
Br 0.3522 0.3522 0.1763
Br 0.4566 0.1466 0.6492
Br 0.5434 0.8534 0.3508
Br 0.6478 0.6478 0.8237
Br 0.8534 0.5434 0.3508
CELL_PARAMETERS angstrom
4.3367 -8.0802 0.0000
4.3367 8.0802 0.0000
-1.5846 0.0000 5.0393
```

space group = C2/m, No. 12
raw total energy = -2.99 eV per atom